(1)
Entry from the Alexandria database: a geometry-optimized GeSb2TePt structure (PBE).

a b c (Å): 5.2391 5.2391 5.1994
angles (deg): 90.00 90.00 90.00
Last column: nearest neighbours and their distance in Å.
Space group P4/mmm (No. 123)
Asymmetric unit:
1 Ge 0.0000 0.0000 0.0000 [1 per cell]  2 Te 2.60, 4 Sb 2.62
2 Sb 0.0000 0.5000 0.0000 [2 per cell]  2 Ge 2.62
3 Te 0.0000 0.0000 0.5000 [1 per cell]  2 Ge 2.60
4 Pt 0.5000 0.5000 0.5000 [1 per cell]  8 Sb 3.69, 4 Te 3.70

calculated total energy	-17.17	eV per cell
D(E_F)	3.5	states/eV/f.u.
formation energy from raw total energies	22.5	kcal/mol of atoms
volume	28.54	A^3/atom
polymorph energy (0 for the lowest one)	496	meV/atom

=====

(2)
Entry from the Alexandria database: a geometry-optimized ThGe2Sb2Pt7 structure (PBE).

a b c (Å): 5.6862 5.6860 15.8142
angles (deg): 90.00 100.24 90.00
Last column: nearest neighbours and their distance in Å.
Space group C2/m (No. 12)
Asymmetric unit:
1 Th 0.0000 0.0000 0.0000 [2 per cell]  12 Pt 2.84-3.03
2 Ge 0.1208 0.5000 0.2446 [4 per cell]  5 Pt 2.45-2.53
3 Sb 0.2121 0.0000 0.4252 [4 per cell]  5 Pt 2.69-2.87
4 Pt 0.0000 0.5000 0.0000 [2 per cell]  4 Th 2.84, 8 Pt 3.03
5 Pt 0.1781 0.2501 0.8541 [8 per cell]  2 Ge 2.53
6 Pt 0.2021 0.5000 0.4020 [4 per cell]  1 Ge 2.45, 1 Sb 2.69

calculated total energy	-149.34	eV per cell
D(E_F)	3.2	states/eV/f.u.
formation energy from raw total energies	-14.4	kcal/mol of atoms
volume	20.96	A^3/atom

=====

(3)
Entry from the Alexandria database: a geometry-optimized Th2Ge3SbPt4 structure (PBE).

a b c (Å): 4.3564 4.3564 10.7268
angles (deg): 90.00 90.00 90.00
Last column: nearest neighbours and their distance in Å.
Space group P-4m2 (No. 115)
Asymmetric unit:
1 Th 0.0000 0.5000 0.2279 [2 per cell]  6 Ge 3.27-3.64, 8 Pt 3.27-3.36, 2 Sb 3.64
2 Ge 0.0000 0.5000 0.8736 [2 per cell]  5 Pt 2.44-2.57
3 Ge 0.5000 0.5000 0.5000 [1 per cell]  4 Pt 2.68
4 Sb 0.0000 0.0000 0.5000 [1 per cell]  4 Pt 2.68
5 Pt 0.0000 0.0000 0.0000 [1 per cell]  4 Ge 2.57
6 Pt 0.0000 0.5000 0.6461 [2 per cell]  3 Ge 2.44-2.68, 2 Sb 2.68
7 Pt 0.5000 0.5000 0.0000 [1 per cell]  4 Ge 2.57

calculated total energy	-65.67	eV per cell
D(E_F)	4.2	states/eV/f.u.
formation energy from raw total energies	-20.0	kcal/mol of atoms
volume	20.36	A^3/atom

=====

(4)
Entry from the Alexandria database: a geometry-optimized Y2Ge3SbPt4 structure (PBE).

a b c (Å): 4.2629 4.2629 10.8942
angles (deg): 90.00 90.00 90.00
Last column: nearest neighbours and their distance in Å.
Space group P-4m2 (No. 115)
Asymmetric unit:
1 Y 0.0000 0.5000 0.2271 [2 per cell]  4 Ge 3.20, 8 Pt 3.27-3.30
2 Ge 0.0000 0.5000 0.8708 [2 per cell]  5 Pt 2.42-2.55
3 Ge 0.5000 0.5000 0.5000 [1 per cell]  4 Pt 2.68
4 Sb 0.0000 0.0000 0.5000 [1 per cell]  4 Pt 2.68
5 Pt 0.0000 0.0000 0.0000 [1 per cell]  4 Ge 2.55
6 Pt 0.0000 0.5000 0.6489 [2 per cell]  3 Ge 2.42-2.68, 2 Sb 2.68
7 Pt 0.5000 0.5000 0.0000 [1 per cell]  4 Ge 2.55

calculated total energy	-63.36	eV per cell
D(E_F)	6.9	states/eV/f.u.
formation energy from raw total energies	-19.1	kcal/mol of atoms
volume	19.80	A^3/atom

=====

(5)
Entry from the Alexandria database: a geometry-optimized ZrGeSb2Pt structure (PBE).

a b c (Å): 5.5016 5.5016 5.0156
angles (deg): 90.00 90.00 90.00
Last column: nearest neighbours and their distance in Å.
Space group P4/mmm (No. 123)
Asymmetric unit:
1 Zr 0.0000 0.0000 0.0000 [1 per cell]  2 Pt 2.51, 4 Sb 2.75
2 Ge 0.5000 0.5000 0.5000 [1 per cell]  8 Sb 3.72, 4 Pt 3.89
3 Sb 0.0000 0.5000 0.0000 [2 per cell]  2 Zr 2.75
4 Pt 0.0000 0.0000 0.5000 [1 per cell]  2 Zr 2.51

calculated total energy	-24.45	eV per cell
D(E_F)	3.9	states/eV/f.u.
formation energy from raw total energies	13.9	kcal/mol of atoms
volume	30.36	A^3/atom

=====

(6)
Entry from the Alexandria database: a geometry-optimized ScGePt2 structure (PBE).

a b c (Å): 4.0737 4.0737 3.9873
angles (deg): 90.00 90.00 90.00
Last column: nearest neighbours and their distance in Å.
Space group P4/mmm (No. 123)
Asymmetric unit:
1 Sc 0.0000 0.0000 0.0000 [1 per cell]  8 Pt 2.85, 4 Ge 2.88
2 Ge 0.5000 0.5000 0.0000 [1 per cell]  8 Pt 2.85, 4 Sc 2.88
3 Pt 0.0000 0.5000 0.5000 [2 per cell]  4 Ge 2.85, 4 Sc 2.85, 4 Pt 2.88

calculated total energy	-26.29	eV per cell
D(E_F)	3.5	states/eV/f.u.
volume	16.54	A^3/atom
energy relative to the elements	-0.81	eV per atom

=====

(7)
Entry from the Alexandria database: a geometry-optimized ScGePt structure (PBE).

a b c (Å): 4.2640 19.9017 7.4891
angles (deg): 90.00 90.00 90.00
Last column: nearest neighbours and their distance in Å.
Space group Imm2 (No. 44)
Asymmetric unit:
1 Sc 0.0000 0.0000 0.0000 [2 per cell]  6 Ge 2.99-3.15, 6 Pt 3.00-3.02
2 Sc 0.0000 0.1671 0.0793 [4 per cell]  6 Pt 2.92-3.10, 6 Ge 2.96-3.17
3 Sc 0.0000 0.3325 0.9943 [4 per cell]  6 Pt 2.84-3.11, 5 Ge 2.92-3.04
4 Sc 0.0000 0.5000 0.0829 [2 per cell]  6 Ge 2.93, 6 Pt 3.07-3.16
5 Ge 0.0000 0.0670 0.3816 [4 per cell]  3 Pt 2.50-2.51, 1 Ge 2.67
6 Ge 0.0000 0.2335 0.6940 [4 per cell]  4 Pt 2.50-2.63
7 Ge 0.0000 0.4044 0.3806 [4 per cell]  4 Pt 2.50-2.77
8 Pt 0.0000 0.1015 0.7046 [4 per cell]  4 Ge 2.51-2.63
9 Pt 0.0000 0.2652 0.3686 [4 per cell]  4 Ge 2.50-2.77
10 Pt 0.0000 0.4267 0.7092 [4 per cell]  3 Ge 2.50

calculated total energy	-242.46	eV per cell
D(E_F)	1.0	states/eV/f.u.
volume	17.65	A^3/atom
energy relative to the elements	-1.07	eV per atom

=====

(8)
Entry from the Alexandria database: a geometry-optimized Sc4Ge3Pt structure (PBE).

a b c (Å): 3.8869 3.9060 10.2155
angles (deg): 90.00 90.00 90.00
Last column: nearest neighbours and their distance in Å.
Space group Pmm2 (No. 25)
Asymmetric unit:
1 Sc 0.0000 0.0000 0.0000 [1 per cell]  5 Ge 2.79-2.81, 2 Pt 3.00
2 Sc 0.0000 0.5000 0.2729 [1 per cell]  4 Pt 2.80, 3 Ge 2.84-3.04
3 Sc 0.5000 0.0000 0.4913 [1 per cell]  1 Pt 2.73, 4 Ge 2.82
4 Sc 0.5000 0.5000 0.7727 [1 per cell]  7 Ge 2.77-2.99
5 Ge 0.0000 0.0000 0.7250 [1 per cell]  2 Ge 2.64, 5 Sc 2.80-2.81
6 Ge 0.0000 0.5000 0.5504 [1 per cell]  2 Ge 2.64, 5 Sc 2.82-2.84
7 Ge 0.5000 0.5000 0.0443 [1 per cell]  2 Pt 2.68, 5 Sc 2.77-2.79
8 Pt 0.5000 0.0000 0.2237 [1 per cell]  2 Ge 2.68, 5 Sc 2.73-2.80

calculated total energy	-52.56	eV per cell
D(E_F)	4.5	states/eV/f.u.
volume	19.39	A^3/atom
energy relative to the elements	-0.92	eV per atom

=====

(9)
Entry from the Alexandria database: a geometry-optimized Sc3Ge3Pt structure (PBE).

a b c (Å): 10.1261 4.1234 13.2776
angles (deg): 90.00 108.88 90.00
Last column: nearest neighbours and their distance in Å.
Space group C2/m (No. 12)
Asymmetric unit:
1 Sc 0.0236 0.0000 0.3746 [4 per cell]  6 Ge 2.83-2.99, 3 Pt 2.94-2.96
2 Sc 0.1014 0.0000 0.9247 [4 per cell]  7 Ge 2.77-3.09
3 Sc 0.2329 0.0000 0.2252 [4 per cell]  6 Ge 2.84-3.03, 2 Pt 2.95
4 Ge 0.0137 0.5000 0.2266 [4 per cell]  1 Pt 2.55, 1 Ge 2.62, 5 Sc 2.83-2.85
5 Ge 0.1248 0.5000 0.0740 [4 per cell]  2 Ge 2.62-2.65, 5 Sc 2.77-2.84
6 Ge 0.1300 0.5000 0.5430 [4 per cell]  3 Pt 2.47-2.66, 1 Ge 2.51
7 Pt 0.2377 0.5000 0.3853 [4 per cell]  4 Ge 2.47-2.66

calculated total energy	-181.28	eV per cell
D(E_F)	3.1	states/eV/f.u.
volume	18.74	A^3/atom
energy relative to the elements	-0.92	eV per atom

=====

(10)
Entry from the Alexandria database: a geometry-optimized ScGePt6 structure (PBE).

a b c (Å): 4.0139 7.9780 8.0003
angles (deg): 90.00 90.00 90.00
Last column: nearest neighbours and their distance in Å.
Space group Amm2 (No. 38)
Asymmetric unit:
1 Sc 0.0000 0.0000 0.0000 [2 per cell]  10 Pt 2.76-2.83
2 Ge 0.5000 0.0000 0.7064 [2 per cell]  8 Pt 2.63-2.81
3 Pt 0.0000 0.0000 0.4948 [2 per cell]  2 Ge 2.63, 10 Pt 2.79-2.88
4 Pt 0.0000 0.2441 0.7450 [4 per cell]  8 Pt 2.78-2.89, 2 Ge 2.81, 2 Sc 2.82-2.83
5 Pt 0.5000 0.0000 0.2360 [2 per cell]  2 Sc 2.76, 10 Pt 2.79-2.88
6 Pt 0.5000 0.2428 0.9847 [4 per cell]  2 Ge 2.71-2.95, 8 Pt 2.78-2.89, 2 Sc 2.79

calculated total energy	-103.77	eV per cell
D(E_F)	4.5	states/eV/f.u.
volume	16.01	A^3/atom
energy relative to the elements	-0.59	eV per atom

=====

(11)
Entry from the Alexandria database: a geometry-optimized ScGePt2 structure (PBE).

a b c (Å): 3.4650 3.4650 5.6799
angles (deg): 90.00 90.00 90.00
Last column: nearest neighbours and their distance in Å.
Space group P4/mmm (No. 123)
Asymmetric unit:
1 Sc 0.0000 0.0000 0.0000 [1 per cell]  2 Ge 2.84, 8 Pt 2.84
2 Ge 0.0000 0.0000 0.5000 [1 per cell]  8 Pt 2.82, 2 Sc 2.84
3 Pt 0.5000 0.5000 0.2530 [2 per cell]  2 Pt 2.81-2.87, 4 Ge 2.82, 4 Sc 2.84

calculated total energy	-26.34	eV per cell
D(E_F)	2.1	states/eV/f.u.
volume	17.05	A^3/atom
energy relative to the elements	-0.83	eV per atom

=====

(12)
Entry from the Alexandria database: a geometry-optimized ScGePt structure (PBE).

a b c (Å): 6.6489 4.2519 7.4950
angles (deg): 90.00 90.00 90.00
Last column: nearest neighbours and their distance in Å.
Space group Pnma (No. 62)
Asymmetric unit:
1 Sc 0.0008 0.2500 0.2039 [4 per cell]  6 Pt 2.90-3.16, 6 Ge 2.92-3.19
2 Ge 0.1960 0.2500 0.5927 [4 per cell]  4 Pt 2.50-2.68
3 Pt 0.2062 0.7500 0.4168 [4 per cell]  4 Ge 2.50-2.68

calculated total energy	-80.89	eV per cell
D(E_F)	1.2	states/eV/f.u.
volume	17.66	A^3/atom
energy relative to the elements	-1.08	eV per atom

=====

(13)
Entry from the Alexandria database: a geometry-optimized ScGePt2 structure (PBE).

a b c (Å): 4.0705 4.0705 17.6210
angles (deg): 90.00 90.00 90.00
Last column: nearest neighbours and their distance in Å.
Space group I-42d (No. 122)
Asymmetric unit:
1 Sc 0.0000 0.0000 0.0000 [4 per cell]  4 Pt 2.66, 4 Ge 2.88
2 Ge 0.0000 0.0000 0.5000 [4 per cell]  4 Pt 2.61, 4 Sc 2.88
3 Pt 0.2341 0.2500 0.6250 [8 per cell]  2 Ge 2.61, 2 Sc 2.66, 2 Pt 2.79

calculated total energy	-101.22	eV per cell
D(E_F)	2.6	states/eV/f.u.
volume	18.25	A^3/atom
energy relative to the elements	-0.57	eV per atom

=====

(14)
Entry from the Alexandria database: a geometry-optimized ScGe2Pt structure (PBE).

a b c (Å): 4.1621 4.1621 3.9407
angles (deg): 90.00 90.00 90.00
Last column: nearest neighbours and their distance in Å.
Space group P4/mmm (No. 123)
Asymmetric unit:
1 Sc 0.0000 0.0000 0.0000 [1 per cell]  8 Ge 2.87, 4 Pt 2.94
2 Ge 0.0000 0.5000 0.5000 [2 per cell]  4 Pt 2.87, 4 Sc 2.87, 4 Ge 2.94
3 Pt 0.5000 0.5000 0.0000 [1 per cell]  8 Ge 2.87, 4 Sc 2.94

calculated total energy	-24.09	eV per cell
D(E_F)	1.6	states/eV/f.u.
volume	17.07	A^3/atom
energy relative to the elements	-0.62	eV per atom

=====

(15)
Entry from the Alexandria database: a geometry-optimized ScGe2Pt structure (PBE).

a b c (Å): 6.5171 6.5171 6.5171
angles (deg): 90.00 90.00 90.00
Last column: nearest neighbours and their distance in Å.
Space group Fm-3m (No. 225)
Asymmetric unit:
1 Sc 0.0000 0.0000 0.0000 [4 per cell]  8 Ge 2.82
2 Ge 0.2500 0.2500 0.2500 [8 per cell]  4 Sc 2.82, 4 Pt 2.82
3 Pt 0.0000 0.0000 0.5000 [4 per cell]  8 Ge 2.82

calculated total energy	-93.32	eV per cell
D(E_F)	5.9	states/eV/f.u.
volume	17.30	A^3/atom
energy relative to the elements	-0.43	eV per atom

=====

(16)
Entry from the Alexandria database: a geometry-optimized ScGe2Pt7 structure (PBE).

a b c (Å): 4.0487 4.0487 20.3690
angles (deg): 90.00 90.00 90.00
Last column: nearest neighbours and their distance in Å.
Space group I4/mmm (No. 139)
Asymmetric unit:
1 Sc 0.0000 0.0000 0.0000 [2 per cell]  12 Pt 2.86
2 Ge 0.0000 0.0000 0.3264 [4 per cell]  8 Pt 2.53-2.55
3 Pt 0.0000 0.0000 0.5000 [2 per cell]  8 Pt 2.86, 4 Sc 2.86
4 Pt 0.0000 0.5000 0.0990 [8 per cell]  2 Ge 2.53
5 Pt 0.0000 0.5000 0.2500 [4 per cell]  4 Ge 2.55

calculated total energy	-129.49	eV per cell
D(E_F)	4.7	states/eV/f.u.
volume	16.69	A^3/atom
energy relative to the elements	-0.69	eV per atom

=====

(17)
Entry from the Alexandria database: a geometry-optimized ScGePt structure (PBE).

a b c (Å): 3.6233 3.6233 8.2901
angles (deg): 90.00 90.00 90.00
Last column: nearest neighbours and their distance in Å.
Space group I4mm (No. 107)
Asymmetric unit:
1 Sc 0.0000 0.0000 0.0000 [2 per cell]  5 Ge 2.68-2.95, 5 Pt 2.83-2.95
2 Ge 0.0000 0.0000 0.6773 [2 per cell]  5 Pt 2.67-2.96, 5 Sc 2.68-2.95
3 Pt 0.0000 0.0000 0.3555 [2 per cell]  5 Ge 2.67-2.96, 5 Sc 2.83-2.95

calculated total energy	-38.22	eV per cell
D(E_F)	1.6	states/eV/f.u.
volume	18.14	A^3/atom
energy relative to the elements	-0.71	eV per atom

=====

(18)
Entry from the Alexandria database: a geometry-optimized ScGePt structure (PBE).

a b c (Å): 3.7102 8.8091 6.7473
angles (deg): 90.00 90.00 90.00
Last column: nearest neighbours and their distance in Å.
Space group Pmc2_1 (No. 26)
Asymmetric unit:
1 Sc 0.0000 0.0797 0.0000 [2 per cell]  4 Ge 2.82-2.83, 6 Pt 2.83-3.05
2 Sc 0.0000 0.3524 0.5985 [2 per cell]  6 Ge 2.86-2.92, 4 Pt 3.04-3.16
3 Ge 0.5000 0.1149 0.6870 [2 per cell]  3 Pt 2.52-2.56
4 Ge 0.5000 0.4356 0.2828 [2 per cell]  3 Pt 2.45-2.46
5 Pt 0.5000 0.1573 0.3176 [2 per cell]  3 Ge 2.46-2.56
6 Pt 0.5000 0.3189 0.9528 [2 per cell]  3 Ge 2.45-2.54

calculated total energy	-79.15	eV per cell
D(E_F)	1.7	states/eV/f.u.
volume	18.38	A^3/atom
energy relative to the elements	-0.93	eV per atom

=====

(19)
Entry from the Alexandria database: a geometry-optimized ScGePt structure (PBE).

a b c (Å): 4.3262 4.3262 3.2724
angles (deg): 90.00 90.00 120.00
Last column: nearest neighbours and their distance in Å.
Space group P-6m2 (No. 187)
Asymmetric unit:
1 Sc 0.0000 0.0000 0.0000 [1 per cell]  6 Pt 2.99, 6 Ge 2.99, 2 Sc 3.27
2 Ge 0.6667 0.3333 0.5000 [1 per cell]  3 Pt 2.50
3 Pt 0.3333 0.6667 0.5000 [1 per cell]  3 Ge 2.50

calculated total energy	-20.05	eV per cell
D(E_F)	2.3	states/eV/f.u.
volume	17.68	A^3/atom
energy relative to the elements	-1.02	eV per atom

=====

(20)
Entry from the Alexandria database: a geometry-optimized ScGe2Pt structure (PBE).

a b c (Å): 7.3678 7.3678 5.5642
angles (deg): 90.00 90.00 90.00
Last column: nearest neighbours and their distance in Å.
Space group I-42d (No. 122)
Asymmetric unit:
1 Sc 0.0000 0.0000 0.0000 [4 per cell]  2 Pt 2.78, 4 Ge 2.89
2 Ge 0.2137 0.2500 0.6250 [8 per cell]  2 Pt 2.52
3 Pt 0.0000 0.0000 0.5000 [4 per cell]  4 Ge 2.52, 2 Sc 2.78

calculated total energy	-95.00	eV per cell
D(E_F)	2.0	states/eV/f.u.
volume	18.88	A^3/atom
energy relative to the elements	-0.54	eV per atom